Density functional theory data (PBE) for an optimized crystal structure of Ac2Al4Ga3Ge. Values from VASP.

Quantum ESPRESSO input file:
```
&SYSTEM
  ibrav = 0, nat = 10, ntyp = 4
/
ATOMIC_SPECIES
Ac 227.00 Ac.upf
Al 26.98 Al.upf
Ga 69.72 Ga.upf
Ge 72.64 Ge.upf
ATOMIC_POSITIONS crystal
Ac 0.0000 0.5000 0.2447
Ac 0.5000 0.0000 0.7553
Al 0.0000 0.0000 0.5000
Al 0.0000 0.5000 0.8819
Al 0.5000 0.0000 0.1181
Al 0.5000 0.5000 0.5000
Ga 0.0000 0.0000 0.0000
Ga 0.0000 0.5000 0.6287
Ga 0.5000 0.0000 0.3713
Ge 0.5000 0.5000 0.0000
CELL_PARAMETERS angstrom
4.6865 0.0000 0.0000
0.0000 4.6865 0.0000
0.0000 0.0000 10.1188
```

Calculated values
- total moment (Bohr magnetons per cell) = 0.0
- space group = No. 115
- formation enthalpy at 0 K (eV/atom) = -0.4016
- calculated volume (A^3/atom) = 22.2